AlMo3N | PBEsol | optimized geometry

Geometry as POSCAR:
```
AlMo3N
1.0
4.069 0.000 0.000
0.000 4.069 0.000
0.000 0.000 4.069
Mo Al N
3 1 1
Direct
0.000 0.500 0.000
0.000 0.000 0.500
0.500 0.000 0.000
0.500 0.500 0.500
0.000 0.000 0.000
```

Values from the calculation:
* SG: No. 221
* E_form (uncorrected): -0.326 eV per atom

ZrAlMoN2 | PBEsol | optimized geometry

Geometry as POSCAR:
```
ZrAlMoN2
1.0
-1.549 1.739 3.148
0.397 -3.324 2.032
4.453 1.399 1.418
Mo Al Zr N
1 1 1 2
Direct
0.000 0.000 0.000
0.000 0.000 0.500
0.500 0.500 0.500
0.000 0.500 0.000
0.500 0.000 0.000
```

Values from the calculation:
* SG: No. 123
* E_form (uncorrected): 0.379 eV per atom

NaAlMo2O8 | PBEsol | optimized geometry

Geometry as POSCAR:
```
NaAlMo2O8
1.0
5.255 0.000 0.000
-2.627 4.818 0.036
0.000 0.052 13.300
Na Al Mo O
2 2 4 16
Direct
0.926 0.000 0.250
0.074 0.000 0.750
0.000 0.000 0.500
0.000 0.000 0.000
0.294 0.653 0.120
0.706 0.347 0.880
0.360 0.653 0.620
0.640 0.347 0.380
0.409 0.657 0.241
0.608 0.814 0.045
0.206 0.814 0.545
0.764 0.695 0.420
0.392 0.186 0.955
0.252 0.148 0.388
0.248 0.657 0.741
0.896 0.148 0.888
0.752 0.343 0.259
0.931 0.695 0.920
0.591 0.343 0.759
0.236 0.305 0.580
0.794 0.186 0.455
0.104 0.852 0.112
0.748 0.852 0.612
0.069 0.305 0.080
```

Values from the calculation:
* SG: No. 15
* E_form (uncorrected): -2.238 eV per atom

Nb3Al2Mo3 | PBEsol | optimized geometry

Geometry as POSCAR:
```
Nb3Al2Mo3
1.0
-4.264 1.532 -2.198
-2.207 0.295 4.517
1.520 4.784 0.415
Mo Nb Al
3 3 2
Direct
0.250 0.750 0.000
0.750 0.000 0.250
0.000 0.250 0.750
0.247 0.753 0.500
0.753 0.500 0.247
0.500 0.247 0.753
0.752 0.752 0.752
0.248 0.248 0.248
```

Values from the calculation:
* SG: No. 155
* calculated formation energy: -209 meV per atom

Q: Which formula does entry 1 have?
A: AlMo3N